Compound: Pu2N2O7
Source: Alexandria
Functional: PBE
Structure: optimized geometry

Geometry as POSCAR:
```
Pu2N2O7
1.0
3.517 -6.279 0.000
3.517 6.279 0.000
-0.918 0.000 6.393
Pu N O
2 2 7
Direct
0.208 0.208 0.389
0.792 0.792 0.611
0.456 0.544 0.000
0.544 0.456 0.000
0.072 0.355 0.383
0.073 0.073 0.689
0.355 0.072 0.383
0.500 0.500 0.500
0.645 0.928 0.617
0.927 0.927 0.311
0.928 0.645 0.617
```

Results
Final energy   -97.76 eV/f.u.
Raw formation energy   -17.7 eV per formula unit
Symmetry   C2/m